<P>
## SrCo3P (PBE)

Data for a relaxed structure of SrCo3P.

```
SrCo3P
1.0
4.679 0.000 0.000
0.000 4.679 0.000
0.000 0.000 4.679
Sr Co P
1 3 1
direct
0.000 0.000 0.000
0.000 0.000 0.500
0.000 0.500 0.000
0.500 0.000 0.000
0.500 0.500 0.500
```

Crystal system: cubic
Volume, A^3/atom: 20.49

---

<Q>
## SrCo3P (PBE)

Data for a relaxed structure of SrCo3P.

```
SrCo3P
1.0
4.361 0.000 0.000
0.000 4.361 0.000
0.000 0.000 4.361
Sr Co P
1 3 1
direct
0.000 0.000 0.000
0.000 0.500 0.500
0.500 0.000 0.500
0.500 0.500 0.000
0.500 0.500 0.500
```

Crystal system: cubic
Volume, A^3/atom: 16.59

---

Short version: <Q>, <P>, most stable first.